This record from the Alexandria database describes an optimized crystal structure of Tl2Tc2O7. The functional is PBE.

extended XYZ file:
```
11
Lattice="-1.481 -2.679 4.809 6.565 -0.517 0.991 -1.643 6.088 2.142" Properties=species:S:1:pos:R:3 pbc="T T T"
O -0.327 1.540 2.180
O 2.710 2.769 3.437
O 1.523 3.159 6.078
O 1.918 -0.267 1.865
O 3.768 1.352 5.763
Tl 4.086 1.478 1.339
Tc 0.433 0.057 2.763
O -0.741 -1.339 2.405
Tc 3.008 2.835 5.179
O 0.731 0.123 4.506
Tl 0.837 4.093 1.795
```

## Properties
- D(E_F) (states/eV per atom) = 0.16
- V (Å³/atom) = 21.9
- raw formation energy (eV per atom) = -1.21
- crystal system = monoclinic
- space-group type = C2/m
- magnetic moment (μB per cell) = 2.03